1.
# AgSnO2F, optimized geometry, DFT PBEsol
# Raw total energy: -22.70 eV/cell
data_AgSnO2F
_chemical_formula_sum 'Ag1 Sn1 O2 F1'
_cell_length_a 4.062
_cell_length_b 4.062
_cell_length_c 4.143
_cell_angle_alpha 90.00
_cell_angle_beta 90.00
_cell_angle_gamma 90.00
_symmetry_space_group_name_H-M 'P 1'
_symmetry_Int_Tables_number 1
_symmetry_space_group_name_Hall 'P 1'
loop_
_atom_site_label
_atom_site_type_symbol
_atom_site_fract_x
_atom_site_fract_y
_atom_site_fract_z
_atom_site_occupancy
F1 F 0.000 0.000 0.500 1
Ag1 Ag 0.000 0.000 0.000 1
O1 O 0.000 0.500 0.000 1
Sn1 Sn 0.500 0.500 0.500 1
O2 O 0.500 0.000 0.000 1



2.
# BeH8Cl2O4, optimized geometry, DFT PBEsol
# Raw total energy: -295.24 eV/cell
data_BeH8Cl2O4
_chemical_formula_sum 'Be4 H32 Cl8 O16'
_cell_length_a 6.585
_cell_length_b 7.825
_cell_length_c 12.916
_cell_angle_alpha 90.00
_cell_angle_beta 90.00
_cell_angle_gamma 104.70
_symmetry_space_group_name_H-M 'P 1'
_symmetry_Int_Tables_number 1
_symmetry_space_group_name_Hall 'P 1'
loop_
_atom_site_label
_atom_site_type_symbol
_atom_site_fract_x
_atom_site_fract_y
_atom_site_fract_z
_atom_site_occupancy
H1 H 0.387 0.581 0.658 1
O1 O 0.653 0.456 0.868 1
Be1 Be 0.688 0.772 0.590 1
H2 H 0.091 0.258 0.543 1
Cl1 Cl 0.836 0.836 0.923 1
H3 H 0.091 0.758 0.957 1
H4 H 0.729 0.580 0.886 1
H5 H 0.387 0.081 0.842 1
H6 H 0.909 0.242 0.043 1
H7 H 0.271 0.420 0.114 1
Be2 Be 0.312 0.728 0.090 1
O2 O 0.347 0.044 0.368 1
O3 O 0.788 0.294 0.025 1
O4 O 0.788 0.794 0.475 1
H8 H 0.511 0.958 0.661 1
H9 H 0.237 0.133 0.586 1
H10 H 0.763 0.367 0.086 1
O5 O 0.463 0.626 0.592 1
Cl2 Cl 0.164 0.164 0.077 1
O6 O 0.463 0.126 0.908 1
H11 H 0.357 0.132 0.963 1
Cl3 Cl 0.760 0.018 0.290 1
Cl4 Cl 0.240 0.982 0.710 1
Cl5 Cl 0.760 0.518 0.210 1
H12 H 0.019 0.722 0.186 1
H13 H 0.763 0.867 0.414 1
H14 H 0.357 0.632 0.537 1
Cl6 Cl 0.836 0.336 0.577 1
Be3 Be 0.688 0.272 0.910 1
O7 O 0.537 0.874 0.092 1
O8 O 0.653 0.956 0.632 1
H15 H 0.613 0.419 0.342 1
O9 O 0.844 0.696 0.665 1
O10 O 0.537 0.374 0.408 1
H16 H 0.643 0.368 0.463 1
H17 H 0.981 0.278 0.814 1
H18 H 0.237 0.633 0.914 1
O11 O 0.212 0.206 0.525 1
H19 H 0.613 0.919 0.158 1
H20 H 0.981 0.778 0.686 1
H21 H 0.643 0.868 0.037 1
Cl7 Cl 0.164 0.664 0.423 1
H22 H 0.137 0.424 0.352 1
H23 H 0.489 0.542 0.161 1
O12 O 0.156 0.304 0.335 1
H24 H 0.137 0.924 0.148 1
O13 O 0.212 0.706 0.975 1
H25 H 0.511 0.458 0.839 1
H26 H 0.489 0.042 0.339 1
Be4 Be 0.312 0.228 0.410 1
H27 H 0.729 0.080 0.614 1
O14 O 0.844 0.196 0.835 1
Cl8 Cl 0.240 0.482 0.790 1
H28 H 0.863 0.076 0.852 1
O15 O 0.156 0.804 0.165 1
H29 H 0.909 0.742 0.457 1
H30 H 0.019 0.222 0.314 1
O16 O 0.347 0.544 0.132 1
H31 H 0.863 0.576 0.648 1
H32 H 0.271 0.920 0.386 1



3.
# Cd2CuAg, optimized geometry, DFT PBEsol
# Formation energy from the elements: 1.4 kJ/mol of atoms
# Raw total energy: -9.98 eV/cell
data_Cd2CuAg
_chemical_formula_sum 'Cd2 Cu1 Ag1'
_cell_length_a 3.150
_cell_length_b 4.594
_cell_length_c 5.432
_cell_angle_alpha 115.01
_cell_angle_beta 106.85
_cell_angle_gamma 90.00
_symmetry_space_group_name_H-M 'P 1'
_symmetry_Int_Tables_number 1
_symmetry_space_group_name_Hall 'P 1'
loop_
_atom_site_label
_atom_site_type_symbol
_atom_site_fract_x
_atom_site_fract_y
_atom_site_fract_z
_atom_site_occupancy
Cd1 Cd 0.230 0.730 0.460 1
Ag1 Ag 0.770 0.270 0.540 1
Cd2 Cd 0.004 0.004 0.008 1
Cu1 Cu 0.496 0.496 0.992 1



4.
# ScH6Br3N2, optimized geometry, DFT PBEsol
# Raw total energy: -240.35 eV/cell
data_ScH6Br3N2
_chemical_formula_sum 'Sc4 H24 Br12 N8'
_cell_length_a 7.141
_cell_length_b 10.071
_cell_length_c 11.199
_cell_angle_alpha 105.00
_cell_angle_beta 91.18
_cell_angle_gamma 109.53
_symmetry_space_group_name_H-M 'P 1'
_symmetry_Int_Tables_number 1
_symmetry_space_group_name_Hall 'P 1'
loop_
_atom_site_label
_atom_site_type_symbol
_atom_site_fract_x
_atom_site_fract_y
_atom_site_fract_z
_atom_site_occupancy
Br1 Br 0.988 0.995 0.247 1
Sc1 Sc 0.837 0.202 0.804 1
N1 N 0.154 0.792 0.397 1
Br2 Br 0.143 0.410 0.340 1
Sc2 Sc 0.330 0.226 0.308 1
H1 H 0.014 0.786 0.423 1
N2 N 0.810 0.169 0.996 1
N3 N 0.846 0.208 0.603 1
Br3 Br 0.341 0.229 0.541 1
H2 H 0.670 0.464 0.441 1
N4 N 0.632 0.332 0.832 1
H3 H 0.230 0.942 0.009 1
H4 H 0.537 0.309 0.899 1
Br4 Br 0.846 0.577 0.129 1
Br5 Br 0.012 0.005 0.753 1
H5 H 0.330 0.536 0.559 1
H6 H 0.257 0.882 0.459 1
H7 H 0.662 0.466 0.293 1
N5 N 0.362 0.603 0.650 1
H8 H 0.743 0.118 0.541 1
Br6 Br 0.511 0.026 0.270 1
H9 H 0.986 0.214 0.577 1
Sc3 Sc 0.163 0.798 0.196 1
Br7 Br 0.647 0.778 0.925 1
H10 H 0.338 0.534 0.707 1
Sc4 Sc 0.670 0.774 0.692 1
H11 H 0.056 0.778 0.947 1
N6 N 0.190 0.831 0.004 1
H12 H 0.459 0.690 0.249 1
H13 H 0.944 0.222 0.053 1
H14 H 0.702 0.203 0.042 1
H15 H 0.177 0.700 0.409 1
N7 N 0.638 0.397 0.350 1
Br8 Br 0.489 0.974 0.730 1
H16 H 0.463 0.691 0.101 1
H17 H 0.298 0.797 0.958 1
Br9 Br 0.659 0.771 0.459 1
H18 H 0.709 0.443 0.861 1
Br10 Br 0.857 0.590 0.660 1
H19 H 0.250 0.647 0.663 1
H20 H 0.823 0.300 0.591 1
H21 H 0.541 0.310 0.751 1
Br11 Br 0.353 0.222 0.075 1
Br12 Br 0.154 0.423 0.871 1
N8 N 0.368 0.668 0.168 1
H22 H 0.291 0.557 0.139 1
H23 H 0.770 0.058 0.991 1
H24 H 0.750 0.353 0.337 1



5.
# BaTaFe3, optimized geometry, DFT PBEsol
# Formation energy from the elements: 110.3 kJ/mol of atoms
# Raw total energy: -35.88 eV/cell
data_BaTaFe3
_chemical_formula_sum 'Ba1 Ta1 Fe3'
_cell_length_a 4.742
_cell_length_b 4.742
_cell_length_c 4.742
_cell_angle_alpha 90.00
_cell_angle_beta 90.00
_cell_angle_gamma 90.00
_symmetry_space_group_name_H-M 'P 1'
_symmetry_Int_Tables_number 1
_symmetry_space_group_name_Hall 'P 1'
loop_
_atom_site_label
_atom_site_type_symbol
_atom_site_fract_x
_atom_site_fract_y
_atom_site_fract_z
_atom_site_occupancy
Ta1 Ta 0.000 0.000 0.000 1
Fe1 Fe 0.500 0.000 0.000 1
Fe2 Fe 0.000 0.000 0.500 1
Fe3 Fe 0.000 0.500 0.000 1
Ba1 Ba 0.500 0.500 0.500 1



6.
# LiTcIr2, optimized geometry, DFT PBEsol
# Formation energy from the elements: 0.5 kJ/mol of atoms
# Raw total energy: -32.86 eV/cell
data_LiTcIr2
_chemical_formula_sum 'Li1 Tc1 Ir2'
_cell_length_a 2.696
_cell_length_b 3.892
_cell_length_c 5.087
_cell_angle_alpha 90.00
_cell_angle_beta 90.00
_cell_angle_gamma 90.00
_symmetry_space_group_name_H-M 'P 1'
_symmetry_Int_Tables_number 1
_symmetry_space_group_name_Hall 'P 1'
loop_
_atom_site_label
_atom_site_type_symbol
_atom_site_fract_x
_atom_site_fract_y
_atom_site_fract_z
_atom_site_occupancy
Ir1 Ir 0.500 0.500 0.279 1
Tc1 Tc 0.500 0.500 0.752 1
Ir2 Ir 0.000 0.000 0.984 1
Li1 Li 0.000 0.000 0.485 1



7.
# SrInHg, optimized geometry, DFT PBEsol
# Formation energy from the elements: -51.6 kJ/mol of atoms
# Raw total energy: -6.99 eV/cell
data_SrInHg
_chemical_formula_sum 'Sr1 In1 Hg1'
_cell_length_a 3.847
_cell_length_b 4.986
_cell_length_c 4.986
_cell_angle_alpha 120.00
_cell_angle_beta 90.00
_cell_angle_gamma 90.00
_symmetry_space_group_name_H-M 'P 1'
_symmetry_Int_Tables_number 1
_symmetry_space_group_name_Hall 'P 1'
loop_
_atom_site_label
_atom_site_type_symbol
_atom_site_fract_x
_atom_site_fract_y
_atom_site_fract_z
_atom_site_occupancy
Sr1 Sr 0.500 0.667 0.333 1
Hg1 Hg 0.000 0.000 0.000 1
In1 In 0.000 0.333 0.667 1



8.
# MgTeMo3, optimized geometry, DFT PBEsol
# Raw total energy: -31.89 eV/cell
data_MgTeMo3
_chemical_formula_sum 'Mg1 Te1 Mo3'
_cell_length_a 4.855
_cell_length_b 4.855
_cell_length_c 4.855
_cell_angle_alpha 90.00
_cell_angle_beta 90.00
_cell_angle_gamma 90.00
_symmetry_space_group_name_H-M 'P 1'
_symmetry_Int_Tables_number 1
_symmetry_space_group_name_Hall 'P 1'
loop_
_atom_site_label
_atom_site_type_symbol
_atom_site_fract_x
_atom_site_fract_y
_atom_site_fract_z
_atom_site_occupancy
Te1 Te 0.000 0.000 0.000 1
Mo1 Mo 0.000 0.500 0.000 1
Mo2 Mo 0.000 0.000 0.500 1
Mg1 Mg 0.500 0.500 0.500 1
Mo3 Mo 0.500 0.000 0.000 1